Entry 1:
# Sm4Tl2Ir

An optimized crystal structure of Sm4Tl2Ir (PBE, Alexandria via LeMat-Bulk).

Calculated values
- formation energy (kJ per mole of atoms) = -31.6

abc: 6.6887 3.8791 9.1274
angles: 90.00 110.00 90.00
Space group P2/m (No. 10)
Unique sites:
Sm1 0.1175 0.0000 0.2560 x2
Sm2 0.3491 0.5000 0.6574 x2
Tl1 0.2576 0.5000 0.9986 x2
Ir1 0.5000 0.0000 0.5000 x1

Entry 2:
# Sm3TlIr

An optimized crystal structure of Sm3TlIr (PBE, Alexandria via LeMat-Bulk).

Calculated values
- formation energy (kJ per mole of atoms) = -28.4
- excess energy over the best structure of this formula in the dataset (meV per atom) = 221

abc: 5.4813 5.4813 5.4813
angles: 90.00 90.00 90.00
Space group Pm-3m (No. 221)
Unique sites:
Sm1 0.0000 0.0000 0.5000 x3
Tl1 0.5000 0.5000 0.5000 x1
Ir1 0.0000 0.0000 0.0000 x1

Entry 3:
# Sm12Tl6Ir

An optimized crystal structure of Sm12Tl6Ir (PBE, Alexandria via LeMat-Bulk).

Calculated values
- formation energy (kJ per mole of atoms) = -20.7

abc: 12.4256 12.4256 13.7031
angles: 90.00 90.00 120.00
Space group R-3 (No. 148, hexagonal axes)
Unique sites:
Sm1 0.0348 0.1896 0.3919 x18
Sm2 0.0347 0.8448 0.8749 x18
Tl1 0.0085 0.3985 0.2624 x18
Ir1 0.0000 0.0000 0.0000 x3

Entry 4:
# Sm7Tl2Ir2

An optimized crystal structure of Sm7Tl2Ir2 (PBE, Alexandria via LeMat-Bulk).

Calculated values
- formation energy (kJ per mole of atoms) = -38.1

abc: 8.3759 11.1936 7.2405
angles: 90.00 90.00 90.00
Space group Cmmm (No. 65)
Unique sites:
Sm1 0.0000 0.0000 0.0000 x2
Sm2 0.0000 0.5000 0.2407 x4
Sm3 0.2500 0.2500 0.2476 x8
Tl1 0.1790 0.0000 0.5000 x4
Ir1 0.0000 0.2880 0.0000 x4

Number 1: calculated density 8.97 g/cm³, D(E_F) 7.2 states/eV per cell, total moment 0.000 Bohr magnetons per cell. Number 2: calculated density 8.55 g/cm³, D(E_F) 7.1 states/eV per cell, total moment 0.000 Bohr magnetons per cell. Number 3: calculated density 8.76 g/cm³, D(E_F) 60.1 states/eV per cell, total moment 0.000 Bohr magnetons per cell. Number 4: calculated density 9.03 g/cm³, D(E_F) 20.0 states/eV per cell, total moment 0.000 Bohr magnetons per cell.